An optimized crystal structure of Ta5Fe3, computed with PBE.

Structure (extended XYZ):
```
16
Lattice="7.452 0.000 0.000 3.726 6.454 0.000 0.000 0.000 5.142" Properties=species:S:1:pos:R:3 pbc="T T T"
Ta 7.453 4.302 0.000
Ta 3.726 2.151 0.000
Ta 3.726 2.151 2.571
Ta 4.631 4.887 3.856
Ta 5.644 0.000 3.856
Ta 6.548 1.566 1.285
Ta 2.822 4.887 1.285
Ta 0.905 1.567 3.856
Ta 7.453 4.302 2.571
Ta 5.535 6.454 1.285
Fe 5.957 2.590 3.856
Fe 6.717 6.454 3.856
Fe 1.495 2.590 1.285
Fe 5.222 3.864 1.285
Fe 2.231 3.864 3.856
Fe 4.462 0.000 1.285
```

Summary:
Total magnetic moment in μB/f.u.: 0.0
Distance to the lowest polymorph of the same formula in eV per formula unit: 0.00
Formation energy from the elements in eV per formula unit: -0.62

An optimized crystal structure of Ta7Fe6, computed with PBE.

Structure (extended XYZ):
```
13
Lattice="9.284 -0.002 -0.001 7.744 5.122 -0.001 7.744 2.328 4.562" Properties=species:S:1:pos:R:3 pbc="T T T"
Fe 1.085 0.326 0.200
Fe 8.231 2.475 1.515
Fe 23.687 7.122 4.360
Fe 16.540 4.973 3.044
Fe 21.123 6.351 3.888
Fe 3.649 1.097 0.672
Ta 14.175 5.671 1.889
Ta 10.597 3.186 0.368
Ta 9.820 4.362 2.670
Ta 10.597 1.777 2.670
Ta 12.386 3.724 2.280
Ta 14.952 3.086 1.889
Ta 14.175 4.262 4.192
```

Summary:
Total magnetic moment in μB/f.u.: 12.9
Distance to the lowest polymorph of the same formula in eV per formula unit: 9.67
Formation energy from the elements in eV per formula unit: 7.22

An optimized crystal structure of TaFe2, computed with PBE.

Structure (extended XYZ):
```
6
Lattice="1.513 4.806 -0.003 -1.513 4.806 -0.003 0.000 1.901 5.634" Properties=species:S:1:pos:R:3 pbc="T T T"
Ta 0.000 8.246 0.565
Ta 0.000 3.268 5.062
Fe 0.000 5.365 1.484
Fe 0.000 2.352 2.408
Fe 0.000 9.161 3.219
Fe 0.000 6.149 4.143
```

Summary:
Total magnetic moment in μB/f.u.: 3.6
Formation energy from the elements in eV per formula unit: -0.03

An optimized crystal structure of Ta4Fe3, computed with PBE.

Structure (extended XYZ):
```
7
Lattice="-1.948 4.262 1.410 -4.223 0.061 2.473 2.559 -0.278 4.376" Properties=species:S:1:pos:R:3 pbc="T T T"
Ta 0.640 -0.069 1.094
Ta -2.835 2.743 4.777
Ta 1.919 -0.208 3.283
Ta -0.778 1.302 3.482
Fe -2.111 0.031 1.236
Fe -0.974 2.131 0.705
Fe -3.086 2.162 1.941
```

Summary:
Total magnetic moment in μB/f.u.: 4.1
Distance to the lowest polymorph of the same formula in eV per formula unit: 0.00
Formation energy from the elements in eV per formula unit: -1.13

An optimized crystal structure of TaFe2, computed with PBE.

Structure (extended XYZ):
```
3
Lattice="3.346 0.000 0.000 0.000 3.346 0.000 0.000 0.000 4.012" Properties=species:S:1:pos:R:3 pbc="T T T"
Fe 0.000 1.673 2.006
Fe 1.673 0.000 2.006
Ta 0.000 0.000 0.000
```

Summary:
Total magnetic moment in μB/f.u.: 2.5
Formation energy from the elements in eV per formula unit: 1.44

An optimized crystal structure of TaFe, computed with PBE.

Structure (extended XYZ):
```
12
Lattice="-1.497 1.192 4.061 0.639 -4.598 1.585 7.967 1.925 2.372" Properties=species:S:1:pos:R:3 pbc="T T T"
Fe 6.135 0.295 2.175
Fe 2.152 -0.668 0.989
Fe 3.957 0.984 1.258
Fe -1.151 -1.128 4.781
Fe 6.455 -2.004 2.968
Fe 2.471 -2.967 1.782
Ta -0.354 0.282 0.960
Ta 4.547 1.883 3.629
Ta 0.897 -1.390 3.197
Ta 6.226 -0.102 4.783
Ta 1.908 1.246 2.843
Ta 3.160 -0.426 5.080
```

Summary:
Total magnetic moment in μB/f.u.: 1.1
Formation energy from the elements in eV per formula unit: 0.33

An optimized crystal structure of Ta4Fe, computed with PBE.

Structure (extended XYZ):
```
5
Lattice="-0.367 -4.991 0.207 -4.281 1.918 -1.757 3.771 1.272 -3.041" Properties=species:S:1:pos:R:3 pbc="T T T"
Ta -0.184 -2.495 0.104
Ta -0.438 -0.901 -2.295
Ta 1.886 0.636 -1.521
Ta -2.140 0.959 -0.878
Fe 0.000 0.000 0.000
```

Summary:
Total magnetic moment in μB/f.u.: 0.0
Distance to the lowest polymorph of the same formula in eV per formula unit: 3.90
Formation energy from the elements in eV per formula unit: 3.76

An optimized crystal structure of TaFe, computed with PBE.

Structure (extended XYZ):
```
4
Lattice="2.944 0.000 -0.006 0.000 4.193 0.000 0.796 0.000 4.643" Properties=species:S:1:pos:R:3 pbc="T T T"
Ta 1.922 0.000 1.859
Ta 2.754 2.097 3.938
Fe 1.265 0.000 4.328
Fe 0.466 2.097 1.475
```

Summary:
Total magnetic moment in μB/f.u.: 0.0
Formation energy from the elements in eV per formula unit: -0.18

An optimized crystal structure of TaFe, computed with PBE.

Structure (extended XYZ):
```
2
Lattice="-0.091 2.899 -0.424 -1.670 -1.232 2.070 2.964 0.485 2.679" Properties=species:S:1:pos:R:3 pbc="T T T"
Fe 0.000 0.000 0.000
Ta 0.338 0.388 2.578
```

Summary:
Total magnetic moment in μB/f.u.: 1.3
Formation energy from the elements in eV per formula unit: 0.57

An optimized crystal structure of TaFe2, computed with PBE.

Structure (extended XYZ):
```
12
Lattice="-10.617 4.981 -0.132 -9.726 3.992 -5.197 9.062 -6.844 2.930" Properties=species:S:1:pos:R:3 pbc="T T T"
Ta -3.876 0.137 -2.062
Ta -18.801 8.293 -4.925
Ta -1.542 0.680 -0.404
Ta -6.960 1.498 -2.870
Fe -10.494 3.057 -3.796
Fe -15.267 6.734 -3.999
Fe -8.543 3.768 -2.238
Fe -4.235 0.594 0.493
Fe -5.076 2.239 -1.330
Fe -11.800 5.205 -3.091
Fe -0.341 -1.422 -1.136
Fe -7.491 2.030 -0.360
```

Summary:
Total magnetic moment in μB/f.u.: 1.5
Formation energy from the elements in eV per formula unit: -0.11

An optimized crystal structure of Ta5Fe, computed with PBE.

Structure (extended XYZ):
```
6
Lattice="0.000 3.815 3.815 3.815 0.000 3.815 3.815 3.815 0.000" Properties=species:S:1:pos:R:3 pbc="T T T"
Ta 4.763 4.763 4.763
Ta 4.763 2.868 2.868
Ta 2.868 4.763 2.868
Ta 1.908 1.908 1.908
Ta 2.868 2.868 4.763
Fe 0.000 0.000 0.000
```

Summary:
Total magnetic moment in μB/f.u.: 2.0
Distance to the lowest polymorph of the same formula in eV per formula unit: 2.88
Formation energy from the elements in eV per formula unit: 2.63

An optimized crystal structure of Ta5Fe, computed with PBE.

Structure (extended XYZ):
```
6
Lattice="2.769 -4.796 0.000 2.769 4.796 0.000 0.000 0.000 4.547" Properties=species:S:1:pos:R:3 pbc="T T T"
Ta 1.384 -2.398 2.274
Ta 2.769 1.599 0.000
Ta 2.769 0.000 2.274
Ta 1.384 2.398 2.274
Ta 2.769 -1.599 0.000
Fe 0.000 0.000 0.000
```

Summary:
Total magnetic moment in μB/f.u.: 2.5
Distance to the lowest polymorph of the same formula in eV per formula unit: 5.33
Formation energy from the elements in eV per formula unit: 5.08

An optimized crystal structure of TaFe2, computed with PBE.

Structure (extended XYZ):
```
12
Lattice="4.762 0.000 0.000 -2.381 4.124 0.000 0.000 0.000 7.857" Properties=species:S:1:pos:R:3 pbc="T T T"
Fe 3.543 0.704 1.964
Fe 1.162 3.420 5.893
Fe 2.381 2.717 1.964
Fe 1.219 0.704 1.964
Fe 0.000 1.408 5.893
Fe 0.000 0.000 0.000
Fe 0.000 0.000 3.929
Fe -1.162 3.420 5.893
Ta 0.000 2.749 0.519
Ta 2.381 1.375 4.447
Ta 2.381 1.375 7.339
Ta 0.000 2.749 3.410
```

Summary:
Total magnetic moment in μB/f.u.: 0.5
Formation energy from the elements in eV per formula unit: -0.61

An optimized crystal structure of TaFe, computed with PBE.

Structure (extended XYZ):
```
8
Lattice="-8.340 -0.827 0.141 0.029 -0.738 -2.602 0.530 -5.098 1.452" Properties=species:S:1:pos:R:3 pbc="T T T"
Ta -4.155 -0.782 -1.231
Ta 0.280 -2.918 -0.575
Ta -3.905 -2.962 0.796
Ta 0.000 0.000 0.000
Fe -1.931 -2.034 -1.553
Fe -5.836 -4.997 -0.757
Fe -6.115 -2.079 -0.182
Fe -1.680 -4.214 0.473
```

Summary:
Total magnetic moment in μB/f.u.: 1.3
Formation energy from the elements in eV per formula unit: 0.43

An optimized crystal structure of TaFe, computed with PBE.

Structure (extended XYZ):
```
4
Lattice="-1.311 2.181 1.279 -0.535 -0.576 -2.737 -6.485 -5.296 2.383" Properties=species:S:1:pos:R:3 pbc="T T T"
Fe -2.259 -0.854 -0.860
Fe -0.156 -0.127 0.057
Ta -3.088 -2.522 1.135
Ta -5.812 -3.755 0.446
```

Summary:
Total magnetic moment in μB/f.u.: 2.1
Formation energy from the elements in eV per formula unit: 0.59

An optimized crystal structure of Ta2Fe3, computed with PBE.

Structure (extended XYZ):
```
10
Lattice="4.921 0.122 0.000 2.375 4.311 0.000 0.000 0.000 6.687" Properties=species:S:1:pos:R:3 pbc="T T T"
Fe 0.000 0.000 6.687
Fe 3.648 2.217 3.344
Fe 5.069 1.646 1.672
Fe 2.227 2.787 5.016
Fe 3.796 3.741 1.672
Fe 3.500 0.693 5.016
Ta 6.134 3.728 2.682
Ta 2.486 1.511 0.663
Ta 4.810 2.923 6.025
Ta 1.162 0.706 4.006
```

Summary:
Total magnetic moment in μB/f.u.: 2.9
Distance to the lowest polymorph of the same formula in eV per formula unit: 0.02
Formation energy from the elements in eV per formula unit: -0.18

An optimized crystal structure of Ta5Fe, computed with PBE.

Structure (extended XYZ):
```
6
Lattice="-1.447 0.228 -2.879 1.277 -6.189 -2.943 -3.915 -1.681 1.835" Properties=species:S:1:pos:R:3 pbc="T T T"
Fe 1.166 -5.838 -2.860
Ta -1.515 -6.565 -3.381
Ta -0.202 -1.529 -1.831
Ta -2.850 -2.361 -2.378
Ta -0.191 -3.731 -3.823
Ta -1.458 -4.580 -1.441
```

Summary:
Total magnetic moment in μB/f.u.: 0.1
Distance to the lowest polymorph of the same formula in eV per formula unit: 0.12
Formation energy from the elements in eV per formula unit: -0.13

An optimized crystal structure of Ta2Fe3, computed with PBE.

Structure (extended XYZ):
```
10
Lattice="0.000 4.252 6.130 2.623 0.000 6.130 2.623 4.252 0.000" Properties=species:S:1:pos:R:3 pbc="T T T"
Fe 1.158 2.126 3.065
Fe 4.674 6.886 10.616
Fe 3.363 4.760 4.709
Fe 5.092 4.252 6.130
Fe 4.674 5.871 7.774
Fe 3.363 3.745 7.551
Ta 1.961 5.693 6.727
Ta 1.961 2.811 5.533
Ta 3.273 7.819 8.598
Ta 3.273 4.938 9.793
```

Summary:
Total magnetic moment in μB/f.u.: 1.9
Distance to the lowest polymorph of the same formula in eV per formula unit: 0.00
Formation energy from the elements in eV per formula unit: -0.20

An optimized crystal structure of TaFe2, computed with PBE.

Structure (extended XYZ):
```
9
Lattice="3.007 -5.208 0.000 3.007 5.208 0.000 0.000 0.000 4.159" Properties=species:S:1:pos:R:3 pbc="T T T"
Fe 4.603 0.000 0.000
Fe 1.591 -2.756 2.079
Fe 2.831 0.000 2.079
Fe 1.591 2.756 2.079
Fe 0.705 -1.221 0.000
Fe 0.705 1.221 0.000
Ta 0.000 0.000 2.079
Ta 3.007 1.736 0.000
Ta 3.007 -1.736 0.000
```

Summary:
Total magnetic moment in μB/f.u.: 2.8
Formation energy from the elements in eV per formula unit: 1.24

An optimized crystal structure of TaFe2, computed with PBE.

Structure (extended XYZ):
```
3
Lattice="3.957 0.000 0.000 -1.978 3.427 0.000 0.000 0.000 2.924" Properties=species:S:1:pos:R:3 pbc="T T T"
Fe 1.978 1.142 1.462
Fe 0.000 2.284 1.462
Ta 0.000 0.000 0.000
```

Summary:
Total magnetic moment in μB/f.u.: 0.0
Formation energy from the elements in eV per formula unit: 0.41

An optimized crystal structure of Ta4Fe, computed with PBE.

Structure (extended XYZ):
```
10
Lattice="-3.928 -4.775 -0.602 2.550 1.214 5.533 -3.430 5.019 -1.278" Properties=species:S:1:pos:R:3 pbc="T T T"
Ta -4.006 1.011 0.457
Ta -1.097 -0.316 4.255
Ta -0.897 4.455 4.092
Ta -0.376 0.762 1.571
Ta -1.792 3.549 1.215
Ta -2.720 -1.326 1.380
Ta -3.112 1.917 3.333
Ta 1.247 1.772 4.446
Fe -0.689 -1.780 2.466
Fe -0.784 2.227 3.360
```

Summary:
Total magnetic moment in μB/f.u.: 0.0
Distance to the lowest polymorph of the same formula in eV per formula unit: 1.64
Formation energy from the elements in eV per formula unit: 1.50

An optimized crystal structure of TaFe2, computed with PBE.

Structure (extended XYZ):
```
12
Lattice="5.050 0.000 0.000 0.000 4.234 0.000 0.000 0.000 7.517" Properties=species:S:1:pos:R:3 pbc="T T T"
Ta 3.421 1.059 4.470
Ta 4.154 3.176 0.711
Ta 0.896 1.059 6.806
Ta 1.629 3.176 3.047
Fe 2.430 3.176 5.671
Fe 0.095 1.059 1.913
Fe 4.955 3.176 5.605
Fe 4.153 3.176 3.260
Fe 0.897 1.059 4.258
Fe 3.421 1.059 7.019
Fe 2.619 1.059 1.846
Fe 1.628 3.176 0.499
```

Summary:
Total magnetic moment in μB/f.u.: 2.8
Formation energy from the elements in eV per formula unit: -0.18

An optimized crystal structure of TaFe, computed with PBE.

Structure (extended XYZ):
```
4
Lattice="-0.870 -0.599 -4.009 3.916 0.649 1.196 0.624 -4.852 0.589" Properties=species:S:1:pos:R:3 pbc="T T T"
Ta 2.789 -3.406 -0.097
Ta 0.881 -1.396 -2.126
Fe 1.193 -3.822 -1.832
Fe 2.476 -0.980 -0.391
```

Summary:
Total magnetic moment in μB/f.u.: 0.0
Formation energy from the elements in eV per formula unit: 1.69

An optimized crystal structure of TaFe2, computed with PBE.

Structure (extended XYZ):
```
12
Lattice="-1.451 2.469 -2.187 -3.124 -1.798 0.042 -3.786 6.820 10.210" Properties=species:S:1:pos:R:3 pbc="T T T"
Fe -3.239 3.906 3.590
Fe -2.613 2.779 1.902
Fe -5.343 4.055 8.122
Fe -5.969 5.182 9.809
Fe -1.567 0.967 2.131
Fe -0.941 -0.161 0.443
Fe -5.122 3.585 4.475
Fe -5.748 4.712 6.163
Ta -3.542 0.739 0.215
Ta -3.148 3.813 6.392
Ta -3.763 1.209 3.860
Ta -4.819 6.752 7.850
```

Summary:
Total magnetic moment in μB/f.u.: 0.0
Formation energy from the elements in eV per formula unit: 0.68

An optimized crystal structure of Ta7Fe, computed with PBE.

Structure (extended XYZ):
```
8
Lattice="1.353 -4.985 2.815 -3.181 -4.860 -0.930 2.327 -4.515 -2.967" Properties=species:S:1:pos:R:3 pbc="T T T"
Ta 0.677 -2.492 1.408
Ta -0.427 -4.688 -1.949
Ta -0.914 -4.922 0.943
Ta 1.840 -4.750 -0.076
Ta 0.250 -7.180 -0.541
Ta -1.590 -2.430 -0.465
Ta 1.163 -2.257 -1.484
Fe 0.000 0.000 0.000
```

Summary:
Total magnetic moment in μB/f.u.: 2.7
Formation energy from the elements in eV per formula unit: 2.09